RbMgVO4: optimized geometry, PBE+U.

It has space group F-43m (No. 216), with a = 8.455 Å, b = 8.455 Å, c = 8.455 Å, α = 90.00°, β = 90.00° and γ = 90.00°. The inequivalent atoms are Rb at (0.000, 0.000, 0.000), Mg at (0.250, 0.250, 0.750), V at (0.000, 0.000, 0.500) and O at (0.119, 0.119, 0.619).

The volume comes out at 21.58 Å³ per atom. For the final energy, the calculation gives -6.460 eV/atom.